# CrTcTe2, optimized geometry, DFT GGA-PBEsol
data_CrTcTe2
_cell_length_a 6.942
_cell_length_b 4.010
_cell_length_c 6.578
_cell_angle_alpha 90.00
_cell_angle_beta 110.65
_cell_angle_gamma 90.00
_space_group_name_H-M_alt 'C 1 m 1'
_space_group_IT_number 8
_space_group_name_Hall 'C -2y'
loop_
_atom_site_label
_atom_site_fract_x
_atom_site_fract_y
_atom_site_fract_z
_atom_site_occupancy
Cr1 0.000 0.000 0.000 1
Tc1 0.314 0.000 0.941 1
Te1 0.063 0.500 0.689 1
Te2 0.246 0.500 0.239 1
# - size of the total moment (μB per formula unit) = 0.0
# - E_form (uncorrected) (meV per atom) = 118.8
# - calculated volume (A^3/atom) = 21.420
# - ΔE to the lowest computed polymorph (kJ per mole of atoms) = 0.0

# TlCr2Tc, optimized geometry, DFT GGA-PBEsol
data_TlCr2Tc
_cell_length_a 2.8676
_cell_length_b 2.8676
_cell_length_c 24.9852
_cell_angle_alpha 90.00
_cell_angle_beta 90.00
_cell_angle_gamma 120.00
_space_group_name_H-M_alt 'R 3 m'
_space_group_IT_number 160
_space_group_name_Hall 'R 3 -2"'
loop_
_atom_site_label
_atom_site_fract_x
_atom_site_fract_y
_atom_site_fract_z
_atom_site_occupancy
Tl1 0.0000 0.0000 0.0000 1
Cr1 0.0000 0.0000 0.2383 1
Cr2 0.0000 0.0000 0.5073 1
Tc1 0.0000 0.0000 0.7644 1
# - size of the total moment (μB per formula unit) = 0.0
# - formation energy from the elements (eV/atom) = 0.606
# - calculated volume (A^3/atom) = 14.828